Ca2HfMoF after structural relaxation, computed with PBE with a Hubbard U. Values from VASP.

Geometry as Quantum ESPRESSO input:
```
&SYSTEM
  ibrav = 0, nat = 5, ntyp = 4
/
ATOMIC_SPECIES
Ca 40.08 Ca.upf
Hf 178.49 Hf.upf
Mo 95.94 Mo.upf
F 19.00 F.upf
CELL_PARAMETERS angstrom
6.236 0.000 0.000
0.000 6.236 0.000
0.000 0.000 4.055
ATOMIC_POSITIONS crystal
Ca 0.000 0.500 0.000
Ca 0.500 0.000 0.000
Hf 0.000 0.000 0.500
Mo 0.500 0.500 0.000
F 0.500 0.500 0.500
```

* electronic total energy: -4.173 eV/atom
* DOS at the Fermi energy: 1.892 states/eV per atom
* total magnetic moment: 4.60 μB per cell